Zr3MoH6 | PBE | optimized geometry

Computed properties:
Calculated total energy in eV/atom: -6.021
Density in kg/m3: 6249

a = 8.2559 Å, b = 8.2559 Å, c = 10.1467 Å
α = 90.00°, β = 90.00°, γ = 120.00°
Space group R-3 (No. 148, hexagonal axes)
Symmetry-distinct sites (fractional):
Zr 0.0046 0.2515 0.2456 (multiplicity 18)
Mo 0.0000 0.0000 0.0000 (multiplicity 3)
Mo 0.0000 0.0000 0.5000 (multiplicity 3)
H 0.0024 0.1524 0.8647 (multiplicity 18)
H 0.0425 0.2329 0.4415 (multiplicity 18)